Here is crystalline HoV2MoO8 at its relaxed geometry from Alexandria. Energies are from PBE+U.

a b c (Å): 5.7917 5.7917 6.1794
angles (deg): 90.00 90.00 120.00
Space group P-3m1 (No. 164)
One atom of each set of equivalent atoms:
Ho  0.0000  0.0000  0.0000
V  0.3333  0.6667  0.6620
Mo  0.0000  0.0000  0.5000
O  0.1606  0.3211  0.7423
O  0.3333  0.6667  0.3990

Computed properties:
Energy   -7.67 eV per atom